# GGA-PBE TaInSi2, optimized geometry
# ΔE_f (raw) = 1.18 eV/f.u.
# E_tot = -24.25 eV for the cell shown
# Space group = Cmmm
data_TaInSi2
_cell_length_a 4.9027
_cell_length_b 4.9027
_cell_length_c 2.8966
_cell_angle_alpha 90.00
_cell_angle_beta 90.00
_cell_angle_gamma 90.55
_symmetry_space_group_name_H-M 'P 1'
_symmetry_Int_Tables_number 1
_symmetry_space_group_name_Hall 'P 1'
loop_
_atom_site_label
_atom_site_type_symbol
_atom_site_fract_x
_atom_site_fract_y
_atom_site_fract_z
Ta1 Ta 0.0000 0.0000 0.0000
In1 In 0.5000 0.5000 0.0000
Si1 Si 0.0000 0.5000 0.5000
Si2 Si 0.5000 0.0000 0.5000


# GGA-PBE TaIn2Si, optimized geometry
# ΔE_f (raw) = 2.56 eV/f.u.
# E_tot = -40.39 eV for the cell shown
# Space group = I-42d
data_TaIn2Si
_cell_length_a 6.1837
_cell_length_b 6.1837
_cell_length_c 6.1837
_cell_angle_alpha 101.37
_cell_angle_beta 101.37
_cell_angle_gamma 127.29
_symmetry_space_group_name_H-M 'P 1'
_symmetry_Int_Tables_number 1
_symmetry_space_group_name_Hall 'P 1'
loop_
_atom_site_label
_atom_site_type_symbol
_atom_site_fract_x
_atom_site_fract_y
_atom_site_fract_z
Ta1 Ta 0.0000 0.0000 0.0000
Ta2 Ta 0.7500 0.2500 0.5000
In1 In 0.1485 0.1250 0.5235
In2 In 0.3750 0.8515 0.9765
In3 In 0.6015 0.6250 0.4765
In4 In 0.8750 0.3985 0.0235
Si1 Si 0.2500 0.7500 0.5000
Si2 Si 0.5000 0.5000 0.0000


# GGA-PBE TaIn2Si, optimized geometry
# ΔE_f (raw) = 0.51 eV/f.u.
# E_tot = -22.25 eV for the cell shown
# Space group = C2/m
data_TaIn2Si
_cell_length_a 7.6857
_cell_length_b 7.6857
_cell_length_c 4.3887
_cell_angle_alpha 106.47
_cell_angle_beta 106.47
_cell_angle_gamma 21.59
_symmetry_space_group_name_H-M 'P 1'
_symmetry_Int_Tables_number 1
_symmetry_space_group_name_Hall 'P 1'
loop_
_atom_site_label
_atom_site_type_symbol
_atom_site_fract_x
_atom_site_fract_y
_atom_site_fract_z
Ta1 Ta 0.0000 0.0000 0.0000
In1 In 0.3164 0.3164 0.8164
In2 In 0.6836 0.6836 0.1836
Si1 Si 0.5000 0.5000 0.5000


# GGA-PBE TaIn2Si2, optimized geometry
# ΔE to the lowest computed polymorph = 0 meV per atom
# ΔE_f (raw) = 2.32 eV/f.u.
# E_tot = -25.86 eV for the cell shown
# Space group = I4/mmm
data_TaIn2Si2
_cell_length_a 9.5713
_cell_length_b 9.5713
_cell_length_c 9.5713
_cell_angle_alpha 160.13
_cell_angle_beta 160.13
_cell_angle_gamma 28.24
_symmetry_space_group_name_H-M 'P 1'
_symmetry_Int_Tables_number 1
_symmetry_space_group_name_Hall 'P 1'
loop_
_atom_site_label
_atom_site_type_symbol
_atom_site_fract_x
_atom_site_fract_y
_atom_site_fract_z
Ta1 Ta 0.0000 0.0000 0.0000
In1 In 0.3946 0.3946 0.0000
In2 In 0.6054 0.6054 0.0000
Si1 Si 0.2500 0.7500 0.5000
Si2 Si 0.7500 0.2500 0.5000